Record 1
Density functional theory data (PBE-GGA) for Dy2MnOs after structural relaxation.

Structure (CIF):
```
data_Dy2MnOs
_chemical_formula_sum 'Dy6 Mn3 Os3'
_symmetry_space_group_name_H-M 'R -3 m'
_symmetry_Int_Tables_number 166
_symmetry_space_group_name_Hall '-R 3 2"'
_cell_length_a 3.2492
_cell_length_b 3.2492
_cell_length_c 30.3412
_cell_angle_alpha 90.00
_cell_angle_beta 90.00
_cell_angle_gamma 120.00
loop_
_atom_site_label
_atom_site_fract_x
_atom_site_fract_y
_atom_site_fract_z
Dy1 0.0000 0.0000 0.0968
Mn1 0.0000 0.0000 0.0000
Os1 0.0000 0.0000 0.5000
```

- V (Å³ per cell) = 277
- VASP energy (eV/cell) = -82.0
- energy above the lowest structure with this stoichiometry (meV/atom) = 573
- mass density (g/cm3) = 10.2
- formation energy (eV/atom) = 0.57

***

Record 2
Density functional theory data (PBE-GGA) for DyMnOs after structural relaxation.

Structure (CIF):
```
data_DyMnOs
_chemical_formula_sum 'Dy4 Mn4 Os4'
_symmetry_space_group_name_H-M 'I m m a'
_symmetry_Int_Tables_number 74
_symmetry_space_group_name_Hall '-I 2b 2'
_cell_length_a 5.2193
_cell_length_b 5.3295
_cell_length_c 7.5668
_cell_angle_alpha 90.00
_cell_angle_beta 90.00
_cell_angle_gamma 90.00
loop_
_atom_site_label
_atom_site_fract_x
_atom_site_fract_y
_atom_site_fract_z
Dy1 0.0000 0.2500 0.1226
Mn1 0.0000 0.0000 0.5000
Os1 0.2500 0.2500 0.7500
```

- V (Å³ per cell) = 210
- VASP energy (eV/cell) = -102.5
- energy above the lowest structure with this stoichiometry (meV/atom) = 0
- mass density (g/cm3) = 12.9
- formation energy (eV/atom) = -0.21

***

Record 3
Density functional theory data (PBE-GGA) for Dy2MnOs3 after structural relaxation.

Structure (CIF):
```
data_Dy2MnOs3
_chemical_formula_sum 'Dy6 Mn3 Os9'
_symmetry_space_group_name_H-M 'R -3 m'
_symmetry_Int_Tables_number 166
_symmetry_space_group_name_Hall '-R 3 2"'
_cell_length_a 5.3407
_cell_length_b 5.3407
_cell_length_c 13.0068
_cell_angle_alpha 90.00
_cell_angle_beta 90.00
_cell_angle_gamma 120.00
loop_
_atom_site_label
_atom_site_fract_x
_atom_site_fract_y
_atom_site_fract_z
Dy1 0.0000 0.0000 0.1234
Mn1 0.0000 0.0000 0.5000
Os1 0.0000 0.5000 0.0000
```

- V (Å³ per cell) = 321
- VASP energy (eV/cell) = -161.1
- mass density (g/cm3) = 14.7
- formation energy (eV/atom) = -0.27

***

Record 4
Density functional theory data (PBE-GGA) for DyMnOs after structural relaxation.

Structure (CIF):
```
data_DyMnOs
_chemical_formula_sum 'Dy8 Mn8 Os8'
_symmetry_space_group_name_H-M 'F m m m'
_symmetry_Int_Tables_number 69
_symmetry_space_group_name_Hall '-F 2 2'
_cell_length_a 4.9295
_cell_length_b 8.6882
_cell_length_c 9.1240
_cell_angle_alpha 90.00
_cell_angle_beta 90.00
_cell_angle_gamma 90.00
loop_
_atom_site_label
_atom_site_fract_x
_atom_site_fract_y
_atom_site_fract_z
Dy1 0.0000 0.1610 0.0000
Mn1 0.2500 0.2500 0.2500
Os1 0.0000 0.0000 0.3557
```

- V (Å³ per cell) = 391
- VASP energy (eV/cell) = -193.7
- energy above the lowest structure with this stoichiometry (meV/atom) = 473
- mass density (g/cm3) = 13.9
- formation energy (eV/atom) = 0.26

***

> Look up the formation energy of the first one.

0.57 eV/atom